A plane-wave DFT calculation with PBE was carried out for an optimized crystal structure of Na2PrScS4.

POSCAR file:
```
Na2PrScS4
1.0
3.976 0.000 0.000
0.000 6.886 0.102
0.000 -2.401 6.646
Na Pr Sc S
2 1 1 4
Cartesian
1.988 -1.201 3.323
0.000 2.242 3.374
1.988 3.443 0.051
0.000 0.000 0.000
1.988 0.997 1.484
1.988 3.488 5.263
0.000 -0.233 5.145
0.000 4.718 1.602
```

Results
Space-group type: No. 10
DOS(E_F): 0.000 states/eV/atom
Volume: 22.86 Å³/atom
E_form (uncorrected): -1.73 eV/atom